# ZnCuTc | the Alexandria database | PBE-GGA | optimized geometry
data_ZnCuTc
_chemical_formula_sum 'Zn2 Cu2 Tc2'
_cell_length_a 2.710
_cell_length_b 3.811
_cell_length_c 8.048
_cell_angle_alpha 90.00
_cell_angle_beta 93.10
_cell_angle_gamma 90.00
_space_group_name_H-M_alt 'P 1 21/m 1'
_space_group_IT_number 11
_space_group_name_Hall '-P 2yb'
loop_
_atom_site_label
_atom_site_type_symbol
_atom_site_fract_x
_atom_site_fract_y
_atom_site_fract_z
_atom_site_occupancy
Zn1 Zn 0.235 0.250 0.093 1
Cu1 Cu 0.264 0.250 0.760 1
Tc1 Tc 0.268 0.250 0.427 1
# Density of states at the Fermi level, states/eV/f.u.: 1.8
# Magnetic moment, Bohr magnetons per cell: 0.000
# Total energy, eV per atom: -5.18
# Energy relative to the lowest polymorph listed for this composition, meV per atom: 96.8
# Calculated formation energy, eV per atom: 0.07


# CaPrGdMg | the Alexandria database | PBE-GGA | optimized geometry
data_CaPrGdMg
_chemical_formula_sum 'Ca4 Pr4 Gd4 Mg4'
_cell_length_a 8.028
_cell_length_b 8.028
_cell_length_c 8.028
_cell_angle_alpha 90.00
_cell_angle_beta 90.00
_cell_angle_gamma 90.00
_space_group_name_H-M_alt 'F -4 3 m'
_space_group_IT_number 216
_space_group_name_Hall 'F -4 2 3'
loop_
_atom_site_label
_atom_site_type_symbol
_atom_site_fract_x
_atom_site_fract_y
_atom_site_fract_z
_atom_site_occupancy
Ca1 Ca 0.000 0.000 0.000 1
Pr1 Pr 0.250 0.250 0.250 1
Gd1 Gd 0.250 0.250 0.750 1
Mg1 Mg 0.000 0.000 0.500 1
# Density of states at the Fermi level, states/eV/f.u.: 5.1
# Magnetic moment, Bohr magnetons per cell: 29.188
# Total energy, eV per atom: -5.57
# Calculated formation energy, eV per atom: 0.04


# Pm2AgGe4Ir3 | the Alexandria database | PBE-GGA | optimized geometry
data_Pm2AgGe4Ir3
_chemical_formula_sum 'Pm2 Ag1 Ge4 Ir3'
_cell_length_a 4.338
_cell_length_b 4.338
_cell_length_c 10.153
_cell_angle_alpha 90.00
_cell_angle_beta 90.00
_cell_angle_gamma 90.00
_space_group_name_H-M_alt 'P -4 m 2'
_space_group_IT_number 115
_space_group_name_Hall 'P -4 -2'
loop_
_atom_site_label
_atom_site_type_symbol
_atom_site_fract_x
_atom_site_fract_y
_atom_site_fract_z
_atom_site_occupancy
Pm1 Pm 0.000 0.500 0.238 1
Ag1 Ag 0.000 0.000 0.500 1
Ge1 Ge 0.000 0.000 0.000 1
Ge2 Ge 0.000 0.500 0.638 1
Ge3 Ge 0.500 0.500 0.000 1
Ir1 Ir 0.000 0.500 0.877 1
Ir2 Ir 0.500 0.500 0.500 1
# Density of states at the Fermi level, states/eV/f.u.: 5.7
# Magnetic moment, Bohr magnetons per cell: 0.000
# Total energy, eV per atom: -6.39
# Calculated formation energy, eV per atom: -0.65